# 1
This record from Alexandria via LeMat-Bulk describes a relaxed structure of Ba2PIr. The functional is PBE-GGA.

**E_form**: -243 kJ/mol of formula units
**Electronic total energy**: -20.64 eV/cell
**Mass density**: 6.96 Mg/m³
**SG**: Amm2 (38)
**DOS at the Fermi energy**: 0.511 states/eV per atom

Cell lengths 4.4604, 4.9742, 5.8996 Å; angles 65.07, 90.00, 90.00 degrees
Atoms (fractional coordinates):
Ba  0.5000  0.2748  0.3259
Ir  0.0000  0.6613  0.5521
P  0.5000  0.5888  0.6974
Ba  0.0000  0.9751  0.9246

---

# 2
This record from Alexandria via LeMat-Bulk describes a relaxed structure of LaSb2W. The functional is PBE-GGA.

**Distance to the lowest polymorph of the same formula**: 259 meV/atom
**Electronic total energy**: -25.73 eV/cell
**Mass density**: 9.46 Mg/m³
**SG**: P4mm (99)
**DOS at the Fermi energy**: 0.632 states/eV per atom

Cell lengths 3.6738, 3.6738, 7.3675 Å; angles 90.00, 90.00, 90.00 degrees
Atoms (fractional coordinates):
Sb  0.0000  0.0000  0.0329
W  0.0000  0.0000  0.4319
Sb  0.5000  0.5000  0.2945
La  0.5000  0.5000  0.7408

---

# 3
This record from Alexandria via LeMat-Bulk describes a relaxed structure of Nd2InS. The functional is PBE-GGA.

**Distance to the lowest polymorph of the same formula**: 6 meV/atom
**Electronic total energy**: -21.21 eV/cell
**Mass density**: 6.42 Mg/m³
**SG**: R-3m (166)
**DOS at the Fermi energy**: 0.579 states/eV per atom

Cell lengths 4.0093, 4.0093, 8.4128 Å; angles 76.21, 76.21, 60.00 degrees
Atoms (fractional coordinates):
S  0.0000  0.0000  0.0000
Nd  0.7357  0.7357  0.7929
Nd  0.2643  0.2643  0.2071
In  0.5000  0.5000  0.5000

---

# 4
This record from Alexandria via LeMat-Bulk describes a relaxed structure of KNdSi2O6. The functional is PBE-GGA.

**Electronic total energy**: -149.97 eV/cell
**Mass density**: 3.87 Mg/m³
**SG**: C2/c (15)
**DOS at the Fermi energy**: 0.000 states/eV per atom

Cell lengths 7.3612, 7.3612, 5.4258 Å; angles 98.04, 98.04, 88.87 degrees
Atoms (fractional coordinates):
O  0.6310  0.0704  0.2775
K  0.8331  0.1669  0.7500
Nd  0.6220  0.3780  0.2500
Si  0.8611  0.6992  0.7222
O  0.4544  0.3028  0.8414
Nd  0.3780  0.6220  0.7500
K  0.1669  0.8331  0.2500
O  0.6972  0.5456  0.6586
Si  0.3008  0.1389  0.7778
O  0.0704  0.6310  0.7775
O  0.3690  0.9296  0.7225
O  0.9296  0.3690  0.2225
O  0.3028  0.4544  0.3414
O  0.8205  0.8437  0.9788
O  0.1795  0.1563  0.0212
O  0.5456  0.6972  0.1586
O  0.1563  0.1795  0.5212
O  0.8437  0.8205  0.4788
Si  0.6992  0.8611  0.2222
Si  0.1389  0.3008  0.2778

---

# 5
This record from Alexandria via LeMat-Bulk describes a relaxed structure of K2TaRe. The functional is PBE-GGA.

**Distance to the lowest polymorph of the same formula**: 772 meV/atom
**E_form**: 573 kJ/mol of formula units
**Electronic total energy**: -20.56 eV/cell
**Mass density**: 7.99 Mg/m³
**SG**: Cmmm (65)
**DOS at the Fermi energy**: 1.291 states/eV per atom

Cell lengths 6.7328, 6.7328, 2.7635 Å; angles 90.00, 90.00, 132.40 degrees
Atoms (fractional coordinates):
K  0.0000  0.0000  0.0000
Re  0.5000  0.0000  0.5000
Ta  0.0000  0.5000  0.5000
K  0.5000  0.5000  0.0000

---

# 6
This record from Alexandria via LeMat-Bulk describes a relaxed structure of CdPbAu3. The functional is PBE-GGA.

**Distance to the lowest polymorph of the same formula**: 17 meV/atom
**E_form**: -23 kJ/mol of formula units
**Electronic total energy**: -29.38 eV/cell
**Mass density**: 13.39 Mg/m³
**SG**: P2_1/m (11)
**DOS at the Fermi energy**: 0.269 states/eV per atom

Cell lengths 5.5554, 6.1211, 6.8997 Å; angles 90.00, 90.00, 105.76 degrees
Atoms (fractional coordinates):
Pb  0.6005  0.9265  0.7500
Au  0.0445  0.7787  0.7500
Pb  0.3995  0.0735  0.2500
Cd  0.1796  0.2636  0.7500
Cd  0.8204  0.7364  0.2500
Au  0.7028  0.3987  0.9518
Au  0.9555  0.2213  0.2500
Au  0.2972  0.6013  0.4518
Au  0.7028  0.3987  0.5482
Au  0.2972  0.6013  0.0482